No. 1
## Ba2SrZn (GGA-PBEsol)

Data for a geometry-optimized Ba2SrZn structure.

As for the formation enthalpy at 0 K: -60 meV per atom. The density of states at the Fermi level comes out at 4.97 states/eV/cell. Its density is 4.174 Mg/m³. For the total DFT energy (no corrections), the calculation gives -1.99 eV/atom. The magnetic moment is 0.00 μB/cell.

The space group is P4mm (No. 99) and the conventional cell measures 4.032, 4.032 and 10.462 Å, with angles of 90.00, 90.00 and 90.00 degrees. The inequivalent atoms are Ba at (0.000, 0.000, 0.000), Ba at (0.500, 0.500, 0.333), Sr at (0.000, 0.000, 0.648) and Zn at (0.500, 0.500, 0.813).

No. 2
## BaSrZn (GGA-PBEsol)

Data for a geometry-optimized BaSrZn structure.

As for the formation enthalpy at 0 K: -110 meV per atom. The density of states at the Fermi level comes out at 6.35 states/eV/cell. Its density is 4.257 Mg/m³. For the total DFT energy (no corrections), the calculation gives -1.97 eV/atom. The magnetic moment is 0.00 μB/cell.

The space group is I4mm (No. 107) and the conventional cell measures 3.974, 3.974 and 14.341 Å, with angles of 90.00, 90.00 and 90.00 degrees. The inequivalent atoms are Ba at (0.000, 0.000, 0.000), Sr at (0.000, 0.000, 0.261) and Zn at (0.000, 0.000, 0.639).